(1)
# Tb2Er5ThMg

Tb2Er5ThMg after structural relaxation (GGA-PBE, Alexandria via LeMat-Bulk).

Cell lengths 5.438, 10.291, 10.346 Å; angles 90.00, 90.00, 105.32 degrees
Positions (direct):
Er 0.618 0.237 0.508
Er 0.382 0.763 0.008
Er 0.712 0.425 0.208
Er 0.986 0.973 0.508
Er 0.014 0.027 0.008
Er 0.287 0.574 0.309
Er 0.500 0.001 0.258
Er 0.500 0.999 0.758
Er 0.713 0.426 0.809
Er 0.288 0.575 0.708
Mg 0.596 0.192 0.007
Mg 0.404 0.808 0.507
Tb 0.885 0.769 0.798
Tb 0.115 0.231 0.719
Tb 0.885 0.769 0.219
Tb 0.115 0.231 0.298
Th 0.201 0.402 0.008
Th 0.799 0.598 0.508

Values from the calculation:
- symmetry = Cmc2_1 (36)
- N(E_F) (states/eV/atom) = 1.46
- total magnetic moment (μB per cell) = 0.00

=====

(2)
# Tb4Cd2In

Tb4Cd2In after structural relaxation (GGA-PBE, Alexandria via LeMat-Bulk).

Cell lengths 5.252, 5.252, 8.958 Å; angles 72.95, 72.95, 60.00 degrees
Each line ends with the local moment (μB).
Positions (direct):
Tb 0.616 0.616 0.152  0.04
Tb 0.130 0.130 0.610  0.10
Tb 0.384 0.384 0.848  0.04
Tb 0.870 0.870 0.390  0.10
Cd 0.746 0.746 0.763  0.00
Cd 0.254 0.254 0.237  0.00
In 0.000 0.000 0.000  0.00

Values from the calculation:
- relative energy among the computed polymorphs (meV per atom) = 0.0
- symmetry = R-3m (166)
- N(E_F) (states/eV/atom) = 1.32
- total magnetic moment (μB per cell) = 0.41

=====

Formation enthalpy at 0 K readings, ordered: 0.12; -0.19 eV/atom